Here is an optimized crystal structure of Dy3Si3O10F from the Open Quantum Materials Database. Energies are from GGA-PBE.

Values from the calculation:
Theoretical density in g cm⁻³: 5.98
Space-group type: P2_1/c (14)
Final energy in eV per cell: -549.04
Volume in Å³ per atom: 12.261

a b c (Å): 7.3104 11.1021 11.9014
angles (deg): 90.00 120.33 90.00
Positions (direct):
Dy: 0.3045 0.4027 0.0048
Dy: 0.7559 0.9680 0.0191
Dy: 0.0947 0.2285 0.1881
Dy: 0.9053 0.7285 0.3119
Dy: 0.2441 0.4680 0.4809
Dy: 0.6955 0.9027 0.4952
Dy: 0.3045 0.0973 0.5048
Dy: 0.7559 0.5320 0.5191
Dy: 0.0947 0.2715 0.6881
Dy: 0.9053 0.7715 0.8119
Dy: 0.2441 0.0320 0.9809
Dy: 0.6955 0.5973 0.9952
F: 0.2573 0.2151 0.0613
F: 0.7427 0.7151 0.4387
F: 0.2573 0.2849 0.5613
F: 0.7427 0.7849 0.9387
O: 0.7858 0.1791 0.0171
O: 0.6506 0.4482 0.1063
O: 0.6061 0.7277 0.1182
O: 0.3049 0.6076 0.1218
O: 0.1493 0.4109 0.1277
O: 0.1510 0.0250 0.1377
O: 0.6009 0.0219 0.1381
O: 0.0061 0.6057 0.1931
O: 0.9871 0.8544 0.1958
O: 0.3920 0.8220 0.2338
O: 0.6080 0.3220 0.2662
O: 0.0129 0.3544 0.3042
O: 0.9939 0.1057 0.3069
O: 0.3991 0.5219 0.3619
O: 0.8490 0.5250 0.3623
O: 0.8507 0.9109 0.3723
O: 0.6951 0.1076 0.3782
O: 0.3939 0.2277 0.3818
O: 0.3494 0.9482 0.3937
O: 0.2142 0.6791 0.4829
O: 0.7858 0.3209 0.5171
O: 0.6506 0.0518 0.6063
O: 0.6061 0.7723 0.6182
O: 0.3049 0.8924 0.6218
O: 0.1493 0.0891 0.6277
O: 0.1510 0.4750 0.6377
O: 0.6009 0.4781 0.6381
O: 0.0061 0.8943 0.6931
O: 0.9871 0.6456 0.6958
O: 0.3920 0.6780 0.7338
O: 0.6080 0.1780 0.7662
O: 0.0129 0.1456 0.8042
O: 0.9939 0.3943 0.8069
O: 0.3991 0.9781 0.8619
O: 0.8490 0.9750 0.8623
O: 0.8507 0.5891 0.8723
O: 0.6951 0.3924 0.8782
O: 0.3939 0.2723 0.8818
O: 0.3494 0.5518 0.8937
O: 0.2142 0.8209 0.9829
Si: 0.3801 0.7452 0.1105
Si: 0.2146 0.5377 0.2086
Si: 0.2169 0.9130 0.2412
Si: 0.7831 0.4130 0.2588
Si: 0.7854 0.0377 0.2914
Si: 0.6199 0.2452 0.3895
Si: 0.3801 0.7548 0.6105
Si: 0.2146 0.9623 0.7086
Si: 0.2169 0.5870 0.7412
Si: 0.7831 0.0870 0.7588
Si: 0.7854 0.4623 0.7914
Si: 0.6199 0.2548 0.8895

=====

Here is an optimized crystal structure of DyPbF4 from the Open Quantum Materials Database. Energies are from GGA-PBE.

Values from the calculation:
Theoretical density in g cm⁻³: 8.30
Space-group type: P4/mmm (123)
Final energy in eV per cell: -68.24
Volume in Å³ per atom: 14.860

a b c (Å): 7.1182 7.1182 7.1182
angles (deg): 134.89 134.89 65.70
Positions (direct):
Dy: 0.5000 0.0000 0.5000
Dy: 0.0000 0.5000 0.5000
F: 0.1515 0.6515 0.0004
F: 0.3489 0.8489 0.0004
F: 0.1511 0.1515 0.5000
F: 0.3485 0.3489 0.5000
F: 0.6515 0.6511 0.5000
F: 0.8489 0.8485 0.5000
F: 0.6511 0.1511 0.9996
F: 0.8485 0.3485 0.9996
Pb: 0.2500 0.2500 0.0000
Pb: 0.7500 0.7500 0.0000